# PBE KY4Mo, relaxed
data_KY4Mo
_chemical_formula_sum 'K1 Y4 Mo1'
_cell_length_a 6.571
_cell_length_b 6.571
_cell_length_c 6.571
_cell_angle_alpha 60.00
_cell_angle_beta 60.00
_cell_angle_gamma 60.00
_space_group_name_H-M_alt 'P 1'
_space_group_IT_number 1
_space_group_name_Hall 'P 1'
loop_
_atom_site_label
_atom_site_type_symbol
_atom_site_fract_x
_atom_site_fract_y
_atom_site_fract_z
_atom_site_occupancy
Mo1 Mo 0.000 0.000 0.000 1
Y1 Y 0.884 0.372 0.372 1
Y2 Y 0.372 0.372 0.372 1
Y3 Y 0.372 0.884 0.372 1
Y4 Y 0.372 0.372 0.884 1
K1 K 0.750 0.750 0.750 1
# Fermi-level density of states, states/eV per cell: 9.53
# Total moment, μB/f.u.: 3.36
# Formation energy from the elements, eV per atom: 1.02